(1)
This record from Alexandria describes an optimized crystal structure of Li11Ga4Hg9. The functional is GGA-PBE.

Output
energy of formation	-304	meV/atom
crystal system	orthorhombic
SG	No. 65

Unit cell a=3.205 b=12.153 c=12.153 alpha=112.63 beta=90.00 gamma=90.00
Element x y z (fractional)
Li: 0.000 0.593 0.944
Li: 0.000 0.407 0.056
Li: 0.000 0.944 0.593
Li: 0.000 0.056 0.407
Li: 0.000 0.641 0.359
Li: 0.000 0.359 0.641
Li: 0.000 0.830 0.170
Li: 0.000 0.170 0.830
Li: 0.000 0.000 0.000
Li: 0.000 0.751 0.751
Li: 0.000 0.249 0.249
Ga: 0.500 0.562 0.749
Ga: 0.500 0.438 0.251
Ga: 0.500 0.749 0.562
Ga: 0.500 0.251 0.438
Hg: 0.500 0.620 0.147
Hg: 0.500 0.380 0.853
Hg: 0.500 0.147 0.620
Hg: 0.500 0.853 0.380
Hg: 0.500 0.793 0.960
Hg: 0.500 0.207 0.040
Hg: 0.500 0.960 0.793
Hg: 0.500 0.040 0.207
Hg: 0.500 0.500 0.500

(2)
This record from Alexandria describes an optimized crystal structure of Li3GaHg5. The functional is GGA-PBE.

Output
energy of formation	-236	meV/atom
crystal system	hexagonal
SG	No. 193

Unit cell a=5.867 b=8.494 c=8.493 alpha=120.00 beta=90.00 gamma=90.00
Element x y z (fractional)
Li: 0.750 0.366 0.366
Li: 0.750 0.000 0.634
Li: 0.750 0.634 0.000
Li: 0.250 0.634 0.634
Li: 0.250 0.000 0.366
Li: 0.250 0.366 0.000
Ga: 0.000 0.000 0.000
Ga: 0.500 0.000 0.000
Hg: 0.000 0.667 0.333
Hg: 0.500 0.333 0.667
Hg: 0.000 0.333 0.667
Hg: 0.500 0.667 0.333
Hg: 0.750 0.699 0.699
Hg: 0.750 0.000 0.301
Hg: 0.750 0.301 0.000
Hg: 0.250 0.301 0.301
Hg: 0.250 0.000 0.699
Hg: 0.250 0.699 0.000

(3)
This record from Alexandria describes an optimized crystal structure of LiGa4Hg. The functional is GGA-PBE.

Output
distance to the lowest polymorph of the same formula	0.000	eV per atom
energy of formation	-71	meV/atom
crystal system	monoclinic
SG	No. 12

Unit cell a=4.524 b=4.803 c=6.088 alpha=81.29 beta=90.00 gamma=118.10
Element x y z (fractional)
Li: 0.000 0.000 0.000
Ga: 0.341 0.683 0.234
Ga: 0.659 0.317 0.766
Ga: 0.333 0.665 0.778
Ga: 0.667 0.335 0.222
Hg: 0.000 0.000 0.500

(4)
This record from Alexandria describes an optimized crystal structure of LiGa2Hg. The functional is GGA-PBE.

Output
energy of formation	-18	meV/atom
crystal system	tetragonal
SG	No. 122

Unit cell a=7.854 b=7.854 c=6.184 alpha=50.57 beta=50.57 gamma=90.00
Element x y z (fractional)
Hg: 0.000 0.000 0.000
Hg: 0.750 0.250 0.500
Ga: 0.635 0.125 0.250
Ga: 0.115 0.625 0.250
Ga: 0.375 0.365 0.750
Ga: 0.875 0.885 0.750
Li: 0.500 0.500 0.000
Li: 0.250 0.750 0.500

(5)
This record from Alexandria describes an optimized crystal structure of LiGaHg2. The functional is GGA-PBE.

Output
energy of formation	29	meV/atom
crystal system	orthorhombic
SG	No. 71

Unit cell a=6.469 b=6.469 c=6.469 alpha=152.88 beta=59.01 gamma=128.67
Element x y z (fractional)
Li: 0.000 0.000 0.000
Ga: 0.500 0.000 0.500
Hg: 0.757 0.000 0.757
Hg: 0.243 0.000 0.243

(6)
This record from Alexandria describes an optimized crystal structure of Li2Ga3Hg8. The functional is GGA-PBE.

Output
energy of formation	-64	meV/atom
crystal system	monoclinic
SG	No. 10

Unit cell a=3.475 b=12.411 c=11.186 alpha=141.87 beta=90.00 gamma=90.00
Element x y z (fractional)
Li: 0.500 0.193 0.478
Li: 0.500 0.807 0.522
Ga: 0.500 0.000 0.000
Ga: 0.000 0.073 0.870
Ga: 0.000 0.927 0.130
Hg: 0.000 0.579 0.192
Hg: 0.000 0.421 0.808
Hg: 0.000 0.306 0.386
Hg: 0.000 0.694 0.614
Hg: 0.500 0.622 0.795
Hg: 0.500 0.153 0.727
Hg: 0.500 0.847 0.273
Hg: 0.500 0.378 0.205

(7)
This record from Alexandria describes an optimized crystal structure of Li4GaHg3. The functional is GGA-PBE.

Output
energy of formation	-335	meV/atom
crystal system	tetragonal
SG	No. 123

Unit cell a=3.283 b=3.283 c=13.273 alpha=90.00 beta=90.00 gamma=90.00
Element x y z (fractional)
Hg: 0.500 0.500 0.243
Hg: 0.500 0.500 0.500
Hg: 0.500 0.500 0.757
Ga: 0.500 0.500 0.000
Li: 0.000 0.000 0.881
Li: 0.000 0.000 0.119
Li: 0.000 0.000 0.372
Li: 0.000 0.000 0.628

(8)
This record from Alexandria describes an optimized crystal structure of Li3GaHg. The functional is GGA-PBE.

Output
distance to the lowest polymorph of the same formula	0.017	eV per atom
energy of formation	-294	meV/atom
crystal system	monoclinic
SG	No. 11

Unit cell a=4.394 b=9.128 c=8.663 alpha=103.34 beta=90.00 gamma=90.00
Element x y z (fractional)
Li: 0.750 0.898 0.225
Li: 0.250 0.102 0.775
Li: 0.250 0.102 0.275
Li: 0.750 0.898 0.725
Li: 0.250 0.318 0.079
Li: 0.750 0.682 0.921
Li: 0.750 0.682 0.421
Li: 0.250 0.318 0.579
Li: 0.250 0.681 0.169
Li: 0.750 0.319 0.831
Li: 0.750 0.319 0.331
Li: 0.250 0.681 0.669
Ga: 0.250 0.495 0.372
Ga: 0.750 0.505 0.628
Ga: 0.750 0.505 0.128
Ga: 0.250 0.495 0.872
Hg: 0.750 0.120 0.033
Hg: 0.250 0.880 0.967
Hg: 0.250 0.880 0.467
Hg: 0.750 0.120 0.533

(9)
This record from Alexandria describes an optimized crystal structure of LiGaHg3. The functional is GGA-PBE.

Output
distance to the lowest polymorph of the same formula	0.226	eV per atom
energy of formation	95	meV/atom
crystal system	cubic
SG	No. 221

Unit cell a=5.289 b=5.289 c=5.289 alpha=90.00 beta=90.00 gamma=90.00
Element x y z (fractional)
Hg: 0.000 0.500 0.000
Hg: 0.000 0.000 0.500
Hg: 0.500 0.000 0.000
Ga: 0.000 0.000 0.000
Li: 0.500 0.500 0.500

(10)
This record from Alexandria describes an optimized crystal structure of Li2GaHg2. The functional is GGA-PBE.

Output
distance to the lowest polymorph of the same formula	0.000	eV per atom
energy of formation	-237	meV/atom
crystal system	tetragonal
SG	No. 127

Unit cell a=7.637 b=7.637 c=3.323 alpha=90.00 beta=90.00 gamma=90.00
Element x y z (fractional)
Hg: 0.358 0.858 0.000
Hg: 0.858 0.642 0.000
Hg: 0.642 0.142 0.000
Hg: 0.142 0.358 0.000
Ga: 0.000 0.000 0.000
Ga: 0.500 0.500 0.000
Li: 0.158 0.658 0.500
Li: 0.658 0.842 0.500
Li: 0.842 0.342 0.500
Li: 0.342 0.158 0.500

(11)
This record from Alexandria describes an optimized crystal structure of Li6GaHg2. The functional is GGA-PBE.

Output
distance to the lowest polymorph of the same formula	0.031	eV per atom
energy of formation	-232	meV/atom
crystal system	trigonal
SG	No. 166

Unit cell a=4.576 b=4.576 c=9.816 alpha=76.52 beta=76.52 gamma=60.00
Element x y z (fractional)
Li: 0.598 0.598 0.205
Li: 0.806 0.806 0.583
Li: 0.696 0.696 0.911
Li: 0.194 0.194 0.417
Li: 0.402 0.402 0.795
Li: 0.304 0.304 0.089
Ga: 0.000 0.000 0.000
Hg: 0.904 0.904 0.288
Hg: 0.096 0.096 0.712

(12)
This record from Alexandria describes an optimized crystal structure of Li2Ga2Hg. The functional is GGA-PBE.

Output
distance to the lowest polymorph of the same formula	0.097	eV per atom
energy of formation	-136	meV/atom
crystal system	tetragonal
SG	No. 127

Unit cell a=7.264 b=7.264 c=3.407 alpha=90.00 beta=90.00 gamma=90.00
Element x y z (fractional)
Hg: 0.000 0.000 0.000
Hg: 0.500 0.500 0.000
Ga: 0.147 0.647 0.500
Ga: 0.647 0.853 0.500
Ga: 0.853 0.353 0.500
Ga: 0.353 0.147 0.500
Li: 0.350 0.850 0.000
Li: 0.850 0.650 0.000
Li: 0.650 0.150 0.000
Li: 0.150 0.350 0.000

(13)
This record from Alexandria describes an optimized crystal structure of Li6GaHg5. The functional is GGA-PBE.

Output
energy of formation	-350	meV/atom
crystal system	monoclinic
SG	No. 12

Unit cell a=4.678 b=6.649 c=8.127 alpha=114.16 beta=108.12 gamma=90.00
Element x y z (fractional)
Hg: 0.660 0.162 0.324
Hg: 0.332 0.333 0.666
Hg: 0.000 0.500 0.000
Hg: 0.668 0.667 0.334
Hg: 0.340 0.838 0.676
Ga: 0.000 0.000 0.000
Li: 0.834 0.585 0.668
Li: 0.834 0.083 0.668
Li: 0.500 0.751 0.000
Li: 0.500 0.249 0.000
Li: 0.166 0.917 0.332
Li: 0.166 0.415 0.332

(14)
This record from Alexandria describes an optimized crystal structure of Li2Ga3Hg. The functional is GGA-PBE.

Output
energy of formation	-224	meV/atom
crystal system	orthorhombic
SG	No. 25

Unit cell a=3.096 b=4.561 c=7.813 alpha=90.00 beta=90.00 gamma=90.00
Element x y z (fractional)
Li: 0.000 0.500 0.002
Li: 0.000 0.000 0.499
Ga: 0.500 0.000 0.831
Ga: 0.500 0.000 0.155
Ga: 0.500 0.500 0.677
Hg: 0.500 0.500 0.336

(15)
This record from Alexandria describes an optimized crystal structure of LiGaHg. The functional is GGA-PBE.

Output
distance to the lowest polymorph of the same formula	0.013	eV per atom
energy of formation	-217	meV/atom
crystal system	orthorhombic
SG	No. 51

Unit cell a=3.060 b=5.247 c=7.169 alpha=90.00 beta=90.00 gamma=90.00
Element x y z (fractional)
Li: 0.500 0.750 0.791
Li: 0.500 0.250 0.209
Ga: 0.000 0.500 0.500
Ga: 0.000 0.000 0.500
Hg: 0.000 0.250 0.866
Hg: 0.000 0.750 0.134

(16)
This record from Alexandria describes an optimized crystal structure of LiGa3Hg. The functional is GGA-PBE.

Output
distance to the lowest polymorph of the same formula	0.000	eV per atom
energy of formation	-104	meV/atom
crystal system	triclinic
SG	No. 1

Unit cell a=4.737 b=6.898 c=6.154 alpha=89.83 beta=76.81 gamma=90.57
Element x y z (fractional)
Li: 0.417 0.347 0.678
Li: 0.040 0.847 0.231
Ga: 0.284 0.278 0.138
Ga: 0.585 0.938 0.950
Ga: 0.967 0.496 0.495
Ga: 0.927 0.109 0.580
Ga: 0.853 0.358 0.946
Ga: 0.488 0.018 0.402
Hg: 0.156 0.754 0.789
Hg: 0.541 0.619 0.297

(17)
This record from Alexandria describes an optimized crystal structure of Li3Ga2Hg6. The functional is GGA-PBE.

Output
energy of formation	-90	meV/atom
crystal system	tetragonal
SG	No. 139

Unit cell a=4.555 b=4.555 c=12.713 alpha=100.32 beta=100.32 gamma=90.00
Element x y z (fractional)
Li: 0.000 0.000 0.000
Li: 0.860 0.860 0.720
Li: 0.140 0.140 0.280
Ga: 0.366 0.366 0.732
Ga: 0.634 0.634 0.268
Hg: 0.063 0.563 0.126
Hg: 0.563 0.063 0.126
Hg: 0.937 0.437 0.874
Hg: 0.437 0.937 0.874
Hg: 0.748 0.748 0.496
Hg: 0.252 0.252 0.504

(18)
This record from Alexandria describes an optimized crystal structure of LiGaHg2. The functional is GGA-PBE.

Output
energy of formation	-59	meV/atom
crystal system	tetragonal
SG	No. 122

Unit cell a=7.606 b=7.606 c=6.230 alpha=52.38 beta=52.38 gamma=90.00
Element x y z (fractional)
Hg: 0.622 0.125 0.250
Hg: 0.128 0.625 0.250
Hg: 0.375 0.378 0.750
Hg: 0.875 0.872 0.750
Ga: 0.000 0.000 0.000
Ga: 0.750 0.250 0.500
Li: 0.500 0.500 0.000
Li: 0.250 0.750 0.500

(19)
This record from Alexandria describes an optimized crystal structure of Li4GaHg7. The functional is GGA-PBE.

Output
energy of formation	-164	meV/atom
crystal system	monoclinic
SG	No. 12

Unit cell a=5.107 b=8.601 c=6.996 alpha=78.24 beta=68.59 gamma=72.73
Element x y z (fractional)
Li: 0.572 0.216 0.639
Li: 0.428 0.784 0.361
Li: 0.709 0.664 0.917
Li: 0.291 0.336 0.083
Ga: 0.000 0.000 0.000
Hg: 0.789 0.876 0.545
Hg: 0.211 0.124 0.455
Hg: 0.078 0.659 0.186
Hg: 0.922 0.341 0.814
Hg: 0.353 0.575 0.719
Hg: 0.500 0.000 0.000
Hg: 0.647 0.425 0.281

(20)
This record from Alexandria describes an optimized crystal structure of LiGa3Hg3. The functional is GGA-PBE.

Output
energy of formation	237	meV/atom
crystal system	cubic
SG	No. 223

Unit cell a=7.596 b=7.596 c=7.596 alpha=90.00 beta=90.00 gamma=90.00
Element x y z (fractional)
Hg: 0.250 0.000 0.500
Hg: 0.000 0.500 0.250
Hg: 0.500 0.750 0.000
Hg: 0.750 0.000 0.500
Hg: 0.000 0.500 0.750
Hg: 0.500 0.250 0.000
Ga: 0.000 0.250 0.500
Ga: 0.000 0.750 0.500
Ga: 0.500 0.000 0.750
Ga: 0.750 0.500 0.000
Ga: 0.500 0.000 0.250
Ga: 0.250 0.500 0.000
Li: 0.500 0.500 0.500
Li: 0.000 0.000 0.000

(21)
This record from Alexandria describes an optimized crystal structure of Li15GaHg4. The functional is GGA-PBE.

Output
energy of formation	-254	meV/atom
crystal system	tetragonal
SG	No. 123

Unit cell a=4.326 b=4.326 c=18.721 alpha=90.00 beta=90.00 gamma=90.00
Element x y z (fractional)
Li: 0.500 0.500 0.000
Li: 0.500 0.500 0.194
Li: 0.500 0.500 0.398
Li: 0.500 0.500 0.602
Li: 0.500 0.500 0.806
Li: 0.500 0.000 0.094
Li: 0.500 0.000 0.295
Li: 0.500 0.000 0.500
Li: 0.500 0.000 0.705
Li: 0.500 0.000 0.906
Li: 0.000 0.500 0.094
Li: 0.000 0.500 0.295
Li: 0.000 0.500 0.500
Li: 0.000 0.500 0.705
Li: 0.000 0.500 0.906
Ga: 0.000 0.000 0.000
Hg: 0.000 0.000 0.193
Hg: 0.000 0.000 0.398
Hg: 0.000 0.000 0.602
Hg: 0.000 0.000 0.807

Calculated total energy values (in eV per atom) by entry order: -1.798; -1.378; -2.458; -2.085; -1.357; -1.243; -1.784; -2.108; -1.074; -1.729; -1.911; -2.173; -1.685; -2.425; -1.965; -2.363; -1.327; -1.445; -1.231; -1.463; -1.901.